DFT (PBE) results for a relaxed structure of PrDy7Ho2.

Computed properties:
formation enthalpy at 0 K = 0.70 eV/atom
space-group type = Cmmm, No. 65

Cell lengths 5.6351, 9.1184, 9.1184 Å; angles 122.69, 90.00, 90.00 degrees
With the nearest neighbours (Å) after each atom.
Fractional positions:
Ho  0.5000  0.2966  0.7034  7 Dy 3.08-3.28
Ho  0.5000  0.7034  0.2966  7 Dy 3.08-3.28
Dy  0.5000  0.5000  0.5000  2 Ho 3.26, 4 Dy 3.38
Dy  0.5000  0.7071  0.9390  2 Dy 3.09-3.38, 2 Ho 3.15-3.28
Dy  0.5000  0.0610  0.2929  2 Dy 3.09-3.38, 2 Ho 3.15-3.28
Dy  0.5000  0.2929  0.0610  2 Dy 3.09-3.38, 2 Ho 3.15-3.28
Dy  0.0000  0.2196  0.7804  2 Ho 3.08
Dy  0.5000  0.9390  0.7071  2 Dy 3.09-3.38, 2 Ho 3.15-3.28
Dy  0.0000  0.7804  0.2196  2 Ho 3.08
Pr  0.0000  0.0000  0.0000  10 Dy 3.51-3.71